A relaxed structure of SrIN2O. Source: Alexandria, functional GGA-PBE.

a b c (Å): 5.130 5.130 4.918
angles (deg): 90.00 90.00 90.00
Site moments in Bohr magnetons follow the coordinates.
Fractional coordinates of all 5 atoms:
1 I 0.500 0.500 0.500  -0.10
2 N 0.000 0.500 0.000  1.57
3 N 0.500 0.000 0.000  1.57
4 Sr 0.000 0.000 0.000  0.06
5 O 0.000 0.000 0.500  -0.90

As for the total energy: -3.65 eV/atom. The density of states at the Fermi level comes out at 5.3 states/eV/cell. The formation energy without anion corrections is 1.31 eV per atom.

A relaxed structure of CaMgTaIn2. Source: Alexandria, functional GGA-PBE.

a b c (Å): 5.464 5.520 5.464
angles (deg): 90.00 90.00 90.00
Site moments in Bohr magnetons follow the coordinates.
Fractional coordinates of all 5 atoms:
1 Ca 0.000 0.500 0.000  0.08
2 In 0.000 0.000 0.500  0.03
3 In 0.500 0.000 0.000  -0.01
4 Ta 0.000 0.000 0.000  0.53
5 Mg 0.500 0.500 0.500  0.01

As for the total energy: -3.41 eV/atom. The calculation puts the formation energy at 779 meV/atom. The density of states at the Fermi level comes out at 5.5 states/eV/cell.

A relaxed structure of Tl2In12Hg7. Source: Alexandria, functional GGA-PBE.

a b c (Å): 4.253 12.613 12.613
angles (deg): 120.00 90.00 90.00
Fractional coordinates of all 21 atoms:
1 In 0.794 0.065 0.438
2 In 0.787 0.251 0.150
3 In 0.206 0.627 0.065
4 In 0.794 0.562 0.627
5 In 0.206 0.438 0.373
6 In 0.787 0.850 0.101
7 In 0.206 0.935 0.562
8 In 0.787 0.899 0.749
9 In 0.213 0.150 0.899
10 In 0.213 0.101 0.251
11 In 0.794 0.373 0.935
12 In 0.213 0.749 0.850
13 Hg 0.335 0.436 0.139
14 Hg 0.665 0.564 0.861
15 Hg 0.500 0.000 0.000
16 Hg 0.335 0.702 0.564
17 Hg 0.335 0.861 0.298
18 Hg 0.665 0.298 0.436
19 Hg 0.665 0.139 0.702
20 Tl 0.799 0.667 0.333
21 Tl 0.201 0.333 0.667

As for the total energy: -1.87 eV/atom. The calculation puts the formation energy at 20 meV/atom. The density of states at the Fermi level comes out at 8.3 states/eV/cell.

A relaxed structure of Tb2CePr6Tm. Source: Alexandria, functional GGA-PBE.

a b c (Å): 8.898 7.141 6.703
angles (deg): 122.19 101.57 90.00
Site moments in Bohr magnetons follow the coordinates.
Fractional coordinates of all 10 atoms:
1 Pr 0.205 0.595 0.656  0.01
2 Pr 0.583 0.374 0.749  0.01
3 Pr 0.417 0.626 0.251  0.01
4 Pr 0.795 0.405 0.344  0.01
5 Pr 0.205 0.061 0.656  0.01
6 Pr 0.795 0.939 0.344  0.01
7 Tm 0.500 0.000 0.000  -0.02
8 Tb 0.165 0.092 0.184  0.02
9 Tb 0.835 0.908 0.816  0.02
10 Ce 0.000 0.500 0.000  0.79

As for the total energy: -4.60 eV/atom. The calculation puts the formation energy at 230 meV/atom. The density of states at the Fermi level comes out at 21.7 states/eV/cell.

A relaxed structure of Na3VCd. Source: Alexandria, functional GGA-PBE.

a b c (Å): 5.638 5.638 5.638
angles (deg): 90.00 90.00 90.00
Site moments in Bohr magnetons follow the coordinates.
Fractional coordinates of all 5 atoms:
1 Na 0.000 0.500 0.000  0.00
2 Na 0.500 0.000 0.000  0.00
3 Na 0.000 0.000 0.500  0.00
4 V 0.500 0.500 0.500  3.21
5 Cd 0.000 0.000 0.000  -0.01

As for the total energy: -1.92 eV/atom. The calculation puts the formation energy at 878 meV/atom. The density of states at the Fermi level comes out at 7.1 states/eV/cell. The energy above the most stable polymorph in this dataset comes out at 0 meV/atom.

A relaxed structure of ThCu8Ag3. Source: Alexandria, functional GGA-PBE.

a b c (Å): 5.047 5.047 8.260
angles (deg): 90.00 90.00 120.00
Fractional coordinates of all 12 atoms:
1 Th 0.000 0.000 0.564
2 Cu 0.166 0.333 0.244
3 Cu 0.166 0.834 0.244
4 Cu 0.333 0.667 0.999
5 Cu 0.333 0.667 0.498
6 Cu 0.995 0.497 0.761
7 Cu 0.667 0.834 0.244
8 Cu 0.503 0.497 0.761
9 Cu 0.503 0.005 0.761
10 Ag 0.000 0.000 0.954
11 Ag 0.667 0.333 0.413
12 Ag 0.667 0.333 0.057

As for the total energy: -4.09 eV/atom. The calculation puts the formation energy at -26 meV/atom. The density of states at the Fermi level comes out at 4.7 states/eV/cell. The energy above the most stable polymorph in this dataset comes out at 8 meV/atom.

A relaxed structure of Y6Ta4Al43. Source: Alexandria, functional GGA-PBE.

a b c (Å): 11.125 11.125 17.823
angles (deg): 90.00 90.00 120.00
Fractional coordinates of all 106 atoms:
1 Al 0.605 0.842 0.663
2 Al 0.841 0.000 0.115
3 Al 0.000 0.159 0.615
4 Al 0.744 0.000 0.971
5 Al 0.494 0.247 0.500
6 Al 0.333 0.667 0.875
7 Al 0.852 0.000 0.750
8 Al 0.256 0.256 0.971
9 Al 0.850 0.445 0.250
10 Al 0.605 0.763 0.337
11 Al 0.000 0.852 0.750
12 Al 0.842 0.237 0.163
13 Al 0.445 0.850 0.250
14 Al 0.159 0.159 0.115
15 Al 0.841 0.841 0.615
16 Al 0.555 0.405 0.250
17 Al 0.148 0.000 0.250
18 Al 0.150 0.595 0.250
19 Al 0.395 0.158 0.163
20 Al 0.841 0.000 0.385
21 Al 0.237 0.842 0.163
22 Al 0.000 0.744 0.971
23 Al 0.150 0.555 0.750
24 Al 0.753 0.247 0.500
25 Al 0.842 0.605 0.663
26 Al 0.333 0.667 0.125
27 Al 0.763 0.605 0.337
28 Al 0.000 0.841 0.115
29 Al 0.763 0.605 0.163
30 Al 0.000 0.256 0.029
31 Al 0.333 0.667 0.375
32 Al 0.159 0.159 0.385
33 Al 0.158 0.763 0.837
34 Al 0.247 0.753 0.500
35 Al 0.158 0.395 0.337
36 Al 0.395 0.237 0.663
37 Al 0.842 0.237 0.337
38 Al 0.595 0.445 0.750
39 Al 0.247 0.753 0.000
40 Al 0.395 0.158 0.337
41 Al 0.237 0.395 0.663
42 Al 0.237 0.395 0.837
43 Al 0.158 0.763 0.663
44 Al 0.000 0.744 0.529
45 Al 0.148 0.148 0.750
46 Al 0.595 0.150 0.250
47 Al 0.753 0.506 0.000
48 Al 0.256 0.256 0.529
49 Al 0.405 0.555 0.250
50 Al 0.256 0.000 0.471
51 Al 0.753 0.247 0.000
52 Al 0.744 0.744 0.029
53 Al 0.841 0.841 0.885
54 Al 0.850 0.405 0.750
55 Al 0.605 0.842 0.837
56 Al 0.159 0.000 0.885
57 Al 0.506 0.753 0.000
58 Al 0.000 0.148 0.250
59 Al 0.494 0.247 0.000
60 Al 0.763 0.158 0.837
61 Al 0.753 0.506 0.500
62 Al 0.247 0.494 0.000
63 Al 0.852 0.852 0.250
64 Al 0.445 0.595 0.750
65 Al 0.744 0.744 0.471
66 Al 0.506 0.753 0.500
67 Al 0.158 0.395 0.163
68 Al 0.395 0.237 0.837
69 Al 0.000 0.256 0.471
70 Al 0.605 0.763 0.163
71 Al 0.667 0.333 0.875
72 Al 0.763 0.158 0.663
73 Al 0.247 0.494 0.500
74 Al 0.405 0.850 0.750
75 Al 0.842 0.605 0.837
76 Al 0.159 0.000 0.615
77 Al 0.667 0.333 0.125
78 Al 0.667 0.333 0.625
79 Al 0.667 0.333 0.375
80 Al 0.000 0.159 0.885
81 Al 0.237 0.842 0.337
82 Al 0.256 0.000 0.029
83 Al 0.000 0.841 0.385
84 Al 0.555 0.150 0.750
85 Al 0.744 0.000 0.529
86 Al 0.333 0.667 0.625
87 Y 0.000 0.530 0.403
88 Y 0.000 0.470 0.597
89 Y 0.470 0.470 0.097
90 Y 0.530 0.530 0.597
91 Y 0.470 0.000 0.903
92 Y 0.470 0.470 0.403
93 Y 0.530 0.000 0.403
94 Y 0.000 0.530 0.097
95 Y 0.470 0.000 0.597
96 Y 0.000 0.470 0.903
97 Y 0.530 0.530 0.903
98 Y 0.530 0.000 0.097
99 Ta 0.000 0.273 0.750
100 Ta 0.727 0.727 0.750
101 Ta 0.000 0.000 0.000
102 Ta 0.273 0.000 0.750
103 Ta 0.727 0.000 0.250
104 Ta 0.000 0.000 0.500
105 Ta 0.000 0.727 0.250
106 Ta 0.273 0.273 0.250

As for the total energy: -4.98 eV/atom. The calculation puts the formation energy at -313 meV/atom. The density of states at the Fermi level comes out at 33.3 states/eV/cell.

A relaxed structure of Mg3Br. Source: Alexandria, functional GGA-PBE.

a b c (Å): 6.188 6.188 6.188
angles (deg): 138.88 138.88 59.56
Fractional coordinates of all 4 atoms:
1 Br 0.000 0.000 0.000
2 Mg 0.750 0.250 0.500
3 Mg 0.250 0.750 0.500
4 Mg 0.500 0.500 0.000

As for the total energy: -1.73 eV/atom. The density of states at the Fermi level comes out at 1.7 states/eV/cell. The formation energy without anion corrections is -0.12 eV per atom. The energy above the most stable polymorph in this dataset comes out at 202 meV/atom.

A relaxed structure of Pm2HRh. Source: Alexandria, functional GGA-PBE.

a b c (Å): 3.794 3.794 7.340
angles (deg): 75.02 75.02 60.00
Fractional coordinates of all 4 atoms:
1 Pm 0.084 0.084 0.747
2 Pm 0.251 0.251 0.247
3 Rh 0.668 0.668 0.997
4 H 0.497 0.497 0.509

As for the total energy: -5.45 eV/atom. The density of states at the Fermi level comes out at 1.1 states/eV/cell. The energy above the most stable polymorph in this dataset comes out at 193 meV/atom.

A relaxed structure of Mn3Mo5. Source: Alexandria, functional GGA-PBE.

a b c (Å): 7.290 7.290 7.286
angles (deg): 96.32 96.32 141.22
Site moments in Bohr magnetons follow the coordinates.
Fractional coordinates of all 16 atoms:
1 Mn 0.678 0.822 0.500  1.34
2 Mn 0.749 0.750 0.000  1.09
3 Mn 0.821 0.321 0.143  1.31
4 Mn 0.250 0.250 0.000  1.09
5 Mn 0.321 0.178 0.500  1.34
6 Mn 0.178 0.679 0.857  1.31
7 Mo 0.222 0.929 0.151  -0.16
8 Mo 0.722 0.571 0.293  -0.16
9 Mo 0.429 0.722 0.151  -0.16
10 Mo 0.928 0.778 0.707  -0.16
11 Mo 0.570 0.278 0.849  -0.16
12 Mo 0.778 0.071 0.849  -0.16
13 Mo 0.250 0.750 0.500  -0.01
14 Mo 0.278 0.429 0.707  -0.16
15 Mo 0.071 0.222 0.293  -0.16
16 Mo 0.749 0.250 0.500  -0.01

As for the total energy: -10.04 eV/atom. The calculation puts the formation energy at 163 meV/atom. The density of states at the Fermi level comes out at 19.4 states/eV/cell. The energy above the most stable polymorph in this dataset comes out at 31 meV/atom.

A relaxed structure of MgBeNi. Source: Alexandria, functional GGA-PBE.

a b c (Å): 4.023 4.023 4.023
angles (deg): 60.00 60.00 60.00
Fractional coordinates of all 3 atoms:
1 Mg 0.750 0.750 0.750
2 Ni 0.000 0.000 0.000
3 Be 0.500 0.500 0.500

As for the total energy: -2.99 eV/atom. The calculation puts the formation energy at 708 meV/atom. The density of states at the Fermi level comes out at 1.0 states/eV/cell. The energy above the most stable polymorph in this dataset comes out at 946 meV/atom.

A relaxed structure of Li2CuPSe4. Source: Alexandria, functional GGA-PBE.

a b c (Å): 5.907 5.911 6.669
angles (deg): 116.32 116.31 89.97
Fractional coordinates of all 8 atoms:
1 Se 0.074 0.090 0.722
2 Se 0.381 0.823 0.221
3 Se 0.840 0.398 0.221
4 Se 0.648 0.632 0.722
5 Li 0.236 0.236 0.472
6 Li 0.486 0.986 0.972
7 Cu 0.985 0.485 0.971
8 P 0.736 0.736 0.472

As for the total energy: -3.97 eV/atom. The formation energy without anion corrections is -0.56 eV per atom.

A relaxed structure of Ho8Te4As3C. Source: Alexandria, functional GGA-PBE.

a b c (Å): 8.216 8.451 8.216
angles (deg): 119.09 120.00 90.00
Fractional coordinates of all 16 atoms:
1 As 0.500 0.500 0.500
2 As 0.500 0.500 0.000
3 As 0.000 0.500 0.500
4 Ho 0.221 0.704 0.983
5 Ho 0.762 0.704 0.983
6 Ho 0.739 0.718 0.479
7 Ho 0.779 0.296 0.558
8 Ho 0.261 0.282 0.521
9 Ho 0.779 0.296 0.017
10 Ho 0.238 0.296 0.017
11 Ho 0.221 0.704 0.442
12 Te 0.500 0.000 0.500
13 Te 0.500 0.000 0.000
14 Te 0.000 0.000 0.000
15 Te 0.000 0.000 0.500
16 C 0.000 0.500 0.000

As for the total energy: -5.84 eV/atom. The density of states at the Fermi level comes out at 4.9 states/eV/cell. The formation energy without anion corrections is -1.32 eV per atom.

A relaxed structure of Ca4IrRh. Source: Alexandria, functional GGA-PBE.

a b c (Å): 5.858 5.858 5.858
angles (deg): 60.00 60.00 60.00
Fractional coordinates of all 6 atoms:
1 Ca 0.375 0.375 0.375
2 Ca 0.874 0.375 0.375
3 Ca 0.375 0.874 0.375
4 Ca 0.375 0.375 0.874
5 Rh 0.000 0.000 0.000
6 Ir 0.750 0.750 0.750

As for the total energy: -3.26 eV/atom. The calculation puts the formation energy at 772 meV/atom. The density of states at the Fermi level comes out at 6.9 states/eV/cell. The energy above the most stable polymorph in this dataset comes out at 1117 meV/atom.

A relaxed structure of Pm7PrHo3. Source: Alexandria, functional GGA-PBE.

a b c (Å): 6.774 8.763 6.573
angles (deg): 80.99 95.82 80.31
Fractional coordinates of all 11 atoms:
1 Pm 0.290 0.141 0.446
2 Pm 0.777 0.210 0.279
3 Pm 0.739 0.587 0.984
4 Pm 0.261 0.413 0.016
5 Pm 0.223 0.790 0.721
6 Pm 0.000 0.500 0.500
7 Pm 0.710 0.859 0.554
8 Ho 0.500 0.000 0.000
9 Ho 0.066 0.838 0.189
10 Ho 0.934 0.162 0.811
11 Pr 0.500 0.500 0.500

As for the total energy: -4.58 eV/atom. The calculation puts the formation energy at 130 meV/atom. The density of states at the Fermi level comes out at 17.5 states/eV/cell. The energy above the most stable polymorph in this dataset comes out at 0 meV/atom.

A relaxed structure of CdW2. Source: Alexandria, functional GGA-PBE.

a b c (Å): 5.497 5.497 7.509
angles (deg): 75.70 75.70 28.66
Fractional coordinates of all 6 atoms:
1 W 0.694 0.694 0.361
2 W 0.306 0.306 0.639
3 W 0.035 0.035 0.674
4 W 0.965 0.965 0.326
5 Cd 0.366 0.366 0.023
6 Cd 0.634 0.634 0.977

As for the total energy: -8.33 eV/atom. The calculation puts the formation energy at 607 meV/atom. The density of states at the Fermi level comes out at 4.8 states/eV/cell. The energy above the most stable polymorph in this dataset comes out at 126 meV/atom.

A relaxed structure of ScZnPdBr2. Source: Alexandria, functional GGA-PBE.

a b c (Å): 5.198 5.137 5.198
angles (deg): 90.00 90.00 90.00
Site moments in Bohr magnetons follow the coordinates.
Fractional coordinates of all 5 atoms:
1 Br 0.500 0.000 0.000  0.00
2 Br 0.000 0.000 0.500  0.01
3 Zn 0.500 0.500 0.500  0.00
4 Sc 0.000 0.500 0.000  0.64
5 Pd 0.000 0.000 0.000  0.00

As for the total energy: -3.22 eV/atom. The density of states at the Fermi level comes out at 4.3 states/eV/cell. The formation energy without anion corrections is 0.01 eV per atom.

A relaxed structure of LaPrSm6. Source: Alexandria, functional GGA-PBE.

a b c (Å): 5.967 5.967 9.133
angles (deg): 78.75 78.75 72.89
Fractional coordinates of all 8 atoms:
1 Sm 0.954 0.477 0.701
2 Sm 0.477 0.954 0.701
3 Sm 0.374 0.374 0.923
4 Sm 0.626 0.626 0.077
5 Sm 0.046 0.523 0.299
6 Sm 0.523 0.046 0.299
7 La 0.000 0.000 0.000
8 Pr 0.500 0.500 0.500

As for the total energy: -4.39 eV/atom. The calculation puts the formation energy at 365 meV/atom. The density of states at the Fermi level comes out at 15.0 states/eV/cell. The energy above the most stable polymorph in this dataset comes out at 347 meV/atom.

A relaxed structure of Cd2AgSe. Source: Alexandria, functional GGA-PBE.

a b c (Å): 4.814 4.814 3.873
angles (deg): 90.01 90.01 105.51
Fractional coordinates of all 4 atoms:
1 Se 0.500 0.000 0.500
2 Cd 0.500 0.500 0.000
3 Cd 0.000 0.000 0.000
4 Ag 0.000 0.500 0.500

As for the total energy: -2.05 eV/atom. The density of states at the Fermi level comes out at 1.8 states/eV/cell. The formation energy without anion corrections is -0.01 eV per atom.